Material: Ag7IF5
Method: DFT, PBE
State: relaxed

Geometry as CIF:
```
data_Ag7IF5
_chemical_formula_sum 'Ag14 I2 F10'
_cell_length_a 3.737
_cell_length_b 6.451
_cell_length_c 20.282
_cell_angle_alpha 90.03
_cell_angle_beta 90.07
_cell_angle_gamma 106.29
_space_group_name_H-M_alt 'P 1'
_space_group_IT_number 1
loop_
_space_group_symop_operation_xyz
'x,y,z'
loop_
_atom_site_label
_atom_site_type_symbol
_atom_site_fract_x
_atom_site_fract_y
_atom_site_fract_z
Ag1 Ag 0.000 0.000 0.000
Ag2 Ag 0.003 0.999 0.501
Ag3 Ag 0.045 0.080 0.738
Ag4 Ag 0.222 0.425 0.305
Ag5 Ag 0.233 0.445 0.443
Ag6 Ag 0.343 0.684 0.125
Ag7 Ag 0.368 0.727 0.630
Ag8 Ag 0.429 0.866 0.889
Ag9 Ag 0.596 0.161 0.377
Ag10 Ag 0.653 0.304 0.124
Ag11 Ag 0.682 0.353 0.619
Ag12 Ag 0.781 0.561 0.944
Ag13 Ag 0.819 0.633 0.807
Ag14 Ag 0.995 0.990 0.245
I1 I 0.103 0.227 0.869
I2 I 0.919 0.795 0.374
F1 F 0.002 0.001 0.124
F2 F 0.022 0.034 0.621
F3 F 0.350 0.699 0.018
F4 F 0.365 0.718 0.232
F5 F 0.373 0.729 0.521
F6 F 0.395 0.784 0.738
F7 F 0.628 0.262 0.016
F8 F 0.648 0.285 0.233
F9 F 0.656 0.297 0.513
F10 F 0.680 0.360 0.726
```

Values from the calculation:
formation energy without anion corrections = -0.7539 eV per atom
D(E_F) = 0.877 states/eV/cell



Material: Ag4IF3
Method: DFT, PBE
State: relaxed

Geometry as CIF:
```
data_Ag4IF3
_chemical_formula_sum 'Ag4 I1 F3'
_cell_length_a 4.430
_cell_length_b 5.661
_cell_length_c 6.558
_cell_angle_alpha 70.97
_cell_angle_beta 89.43
_cell_angle_gamma 87.36
_space_group_name_H-M_alt 'P 1'
_space_group_IT_number 1
loop_
_space_group_symop_operation_xyz
'x,y,z'
loop_
_atom_site_label
_atom_site_type_symbol
_atom_site_fract_x
_atom_site_fract_y
_atom_site_fract_z
Ag1 Ag 0.000 0.000 0.000
Ag2 Ag 0.025 0.499 0.586
Ag3 Ag 0.358 0.361 0.110
Ag4 Ag 0.453 0.062 0.568
I1 I 0.480 0.777 0.277
F1 F 0.161 0.715 0.812
F2 F 0.617 0.264 0.808
F3 F 0.935 0.242 0.378
```

Values from the calculation:
formation energy without anion corrections = -0.7697 eV per atom